1.
Entry from Alexandria via LeMat-Bulk: an optimized crystal structure of EuHo2Bi (PBE).

Cell and atoms, written as CIF:
```
data_EuHo2Bi
_cell_length_a 4.893
_cell_length_b 4.947
_cell_length_c 4.947
_cell_angle_alpha 90.00
_cell_angle_beta 90.00
_cell_angle_gamma 90.00
_space_group_name_H-M_alt 'P 1'
_space_group_IT_number 1
loop_
_space_group_symop_operation_xyz
'x,y,z'
loop_
_atom_site_label
_atom_site_fract_x
_atom_site_fract_y
_atom_site_fract_z
Ho1 0.000 0.000 0.500
Ho2 0.000 0.500 0.000
Eu1 0.500 0.500 0.500
Bi1 0.500 0.000 0.000
```

Properties
Total magnetic moment   7.5 μB/f.u.
DFT total energy   -6.14 eV per atom
Symmetry   P4/mmm, No. 123
Distance to the lowest polymorph of the same formula   0.0 kJ per mole of atoms
E_form   -0.3169 eV per atom
Calculated density   9.6 g/cm³
DOS at the Fermi energy   1.327 states/eV per atom


2.
Entry from Alexandria via LeMat-Bulk: an optimized crystal structure of BaV2N4 (PBE).

Cell and atoms, written as CIF:
```
data_BaV2N4
_cell_length_a 10.929
_cell_length_b 10.929
_cell_length_c 10.929
_cell_angle_alpha 90.00
_cell_angle_beta 90.00
_cell_angle_gamma 90.00
_space_group_name_H-M_alt 'P 1'
_space_group_IT_number 1
loop_
_space_group_symop_operation_xyz
'x,y,z'
loop_
_atom_site_label
_atom_site_fract_x
_atom_site_fract_y
_atom_site_fract_z
V1 0.194 0.156 0.613
V2 0.844 0.387 0.806
V3 0.306 0.844 0.113
V4 0.344 0.387 0.694
V5 0.387 0.806 0.844
V6 0.156 0.887 0.694
V7 0.613 0.194 0.156
V8 0.113 0.306 0.844
V9 0.887 0.806 0.656
V10 0.113 0.194 0.344
V11 0.613 0.306 0.656
V12 0.806 0.656 0.887
V13 0.887 0.694 0.156
V14 0.156 0.613 0.194
V15 0.806 0.844 0.387
V16 0.656 0.887 0.806
V17 0.656 0.613 0.306
V18 0.694 0.344 0.387
V19 0.387 0.694 0.344
V20 0.694 0.156 0.887
V21 0.306 0.656 0.613
V22 0.194 0.344 0.113
V23 0.844 0.113 0.306
V24 0.344 0.113 0.194
N1 0.838 0.239 0.879
N2 0.994 0.914 0.724
N3 0.224 0.994 0.586
N4 0.276 0.006 0.086
N5 0.162 0.761 0.121
N6 0.379 0.838 0.261
N7 0.379 0.662 0.761
N8 0.662 0.761 0.379
N9 0.121 0.338 0.261
N10 0.761 0.121 0.162
N11 0.621 0.162 0.739
N12 0.414 0.776 0.006
N13 0.914 0.776 0.494
N14 0.739 0.621 0.162
N15 0.006 0.414 0.776
N16 0.662 0.739 0.879
N17 0.761 0.379 0.662
N18 0.414 0.724 0.506
N19 0.338 0.261 0.121
N20 0.276 0.494 0.586
N21 0.239 0.621 0.338
N22 0.838 0.261 0.379
N23 0.261 0.379 0.838
N24 0.121 0.162 0.761
N25 0.724 0.506 0.414
N26 0.739 0.879 0.662
N27 0.776 0.006 0.414
N28 0.086 0.224 0.506
N29 0.586 0.224 0.994
N30 0.494 0.914 0.776
N31 0.006 0.086 0.276
N32 0.914 0.724 0.994
N33 0.724 0.994 0.914
N34 0.338 0.239 0.621
N35 0.239 0.879 0.838
N36 0.086 0.276 0.006
N37 0.506 0.086 0.224
N38 0.879 0.838 0.239
N39 0.994 0.586 0.224
N40 0.162 0.739 0.621
N41 0.586 0.276 0.494
N42 0.224 0.506 0.086
N43 0.621 0.338 0.239
N44 0.879 0.662 0.739
N45 0.776 0.494 0.914
N46 0.494 0.586 0.276
N47 0.506 0.414 0.724
N48 0.261 0.121 0.338
Ba1 0.375 0.125 0.875
Ba2 0.500 0.000 0.500
Ba3 0.500 0.500 0.000
Ba4 0.000 0.000 0.000
Ba5 0.875 0.125 0.625
Ba6 0.875 0.375 0.125
Ba7 0.625 0.875 0.125
Ba8 0.625 0.625 0.625
Ba9 0.125 0.875 0.375
Ba10 0.000 0.500 0.500
Ba11 0.375 0.375 0.375
Ba12 0.125 0.625 0.875
```

Properties
Total magnetic moment   0.0 μB/f.u.
DFT total energy   -8.55 eV per atom
Symmetry   Pa-3, No. 205
Calculated density   4.5 g/cm³


3.
Entry from Alexandria via LeMat-Bulk: an optimized crystal structure of V3W (PBE).

Cell and atoms, written as CIF:
```
data_V3W
_cell_length_a 3.060
_cell_length_b 4.300
_cell_length_c 4.297
_cell_angle_alpha 90.00
_cell_angle_beta 90.00
_cell_angle_gamma 90.00
_space_group_name_H-M_alt 'P 1'
_space_group_IT_number 1
loop_
_space_group_symop_operation_xyz
'x,y,z'
loop_
_atom_site_label
_atom_site_fract_x
_atom_site_fract_y
_atom_site_fract_z
V1 0.500 0.500 0.917
V2 0.000 0.000 0.917
V3 0.500 0.000 0.417
W1 0.000 0.500 0.417
```

Properties
Total magnetic moment   0.0 μB/f.u.
DFT total energy   -10.12 eV per atom
Symmetry   P4/mmm, No. 123
E_form   -0.0393 eV per atom
Calculated density   9.9 g/cm³
DOS at the Fermi energy   1.446 states/eV per atom


4.
Entry from Alexandria via LeMat-Bulk: an optimized crystal structure of LaNd6Ho3 (PBE).

Cell and atoms, written as CIF:
```
data_LaNd6Ho3
_cell_length_a 10.002
_cell_length_b 10.002
_cell_length_c 7.035
_cell_angle_alpha 44.69
_cell_angle_beta 44.69
_cell_angle_gamma 60.00
_space_group_name_H-M_alt 'P 1'
_space_group_IT_number 1
loop_
_space_group_symop_operation_xyz
'x,y,z'
loop_
_atom_site_label
_atom_site_fract_x
_atom_site_fract_y
_atom_site_fract_z
La1 0.900 0.900 0.301
Ho1 0.400 0.400 0.801
Ho2 0.154 0.154 0.539
Ho3 0.646 0.646 0.063
Nd1 0.570 0.230 0.299
Nd2 0.900 0.570 0.299
Nd3 0.230 0.900 0.299
Nd4 0.400 0.726 0.800
Nd5 0.726 0.074 0.800
Nd6 0.074 0.400 0.800
```

Properties
Total magnetic moment   0.0 μB/f.u.
DFT total energy   -4.50 eV per atom
Symmetry   R3, No. 146
Distance to the lowest polymorph of the same formula   8.8 kJ per mole of atoms
E_form   0.2302 eV per atom
Calculated density   7.2 g/cm³
DOS at the Fermi energy   1.956 states/eV per atom


5.
Entry from Alexandria via LeMat-Bulk: an optimized crystal structure of RbCd2Pb6 (PBE).

Cell and atoms, written as CIF:
```
data_RbCd2Pb6
_cell_length_a 15.162
_cell_length_b 15.162
_cell_length_c 15.162
_cell_angle_alpha 26.89
_cell_angle_beta 26.89
_cell_angle_gamma 26.89
_space_group_name_H-M_alt 'P 1'
_space_group_IT_number 1
loop_
_space_group_symop_operation_xyz
'x,y,z'
loop_
_atom_site_label
_atom_site_fract_x
_atom_site_fract_y
_atom_site_fract_z
Pb1 0.522 0.990 0.522
Pb2 0.990 0.522 0.522
Pb3 0.728 0.260 0.728
Pb4 0.022 0.507 0.022
Pb5 0.260 0.728 0.728
Pb6 0.507 0.022 0.022
Pb7 0.228 0.743 0.228
Pb8 0.022 0.022 0.507
Pb9 0.228 0.228 0.743
Pb10 0.728 0.728 0.260
Pb11 0.522 0.522 0.990
Pb12 0.743 0.228 0.228
Cd1 0.125 0.125 0.625
Cd2 0.625 0.125 0.125
Cd3 0.125 0.125 0.125
Cd4 0.125 0.625 0.125
Rb1 0.770 0.770 0.770
Rb2 0.480 0.480 0.480
```

Properties
Total magnetic moment   0.0 μB/f.u.
DFT total energy   -2.73 eV per atom
Symmetry   R-3m, No. 166
Distance to the lowest polymorph of the same formula   8.5 kJ per mole of atoms
E_form   0.0526 eV per atom
Calculated density   8.2 g/cm³
DOS at the Fermi energy   0.526 states/eV per atom


6.
Entry from Alexandria via LeMat-Bulk: an optimized crystal structure of BaHgIr2 (PBE).

Cell and atoms, written as CIF:
```
data_BaHgIr2
_cell_length_a 5.570
_cell_length_b 5.570
_cell_length_c 5.570
_cell_angle_alpha 133.61
_cell_angle_beta 116.32
_cell_angle_gamma 82.35
_space_group_name_H-M_alt 'P 1'
_space_group_IT_number 1
loop_
_space_group_symop_operation_xyz
'x,y,z'
loop_
_atom_site_label
_atom_site_fract_x
_atom_site_fract_y
_atom_site_fract_z
Ir1 0.946 0.946 0.000
Ir2 0.839 0.339 0.500
Hg1 0.202 0.702 0.500
Ba1 0.513 0.513 0.000
```

Properties
Total magnetic moment   0.0 μB/f.u.
DFT total energy   -4.74 eV per atom
Symmetry   Imm2, No. 44
E_form   0.2501 eV per atom
Calculated density   11.1 g/cm³
DOS at the Fermi energy   0.614 states/eV per atom


7.
Entry from Alexandria via LeMat-Bulk: an optimized crystal structure of SiIrOs2 (PBE).

Cell and atoms, written as CIF:
```
data_SiIrOs2
_cell_length_a 2.855
_cell_length_b 2.855
_cell_length_c 6.731
_cell_angle_alpha 90.00
_cell_angle_beta 90.00
_cell_angle_gamma 90.00
_space_group_name_H-M_alt 'P 1'
_space_group_IT_number 1
loop_
_space_group_symop_operation_xyz
'x,y,z'
loop_
_atom_site_label
_atom_site_fract_x
_atom_site_fract_y
_atom_site_fract_z
Si1 0.500 0.500 0.250
Ir1 0.500 0.500 0.750
Os1 0.000 0.000 0.466
Os2 0.000 0.000 0.034
```

Properties
Total magnetic moment   0.0 μB/f.u.
DFT total energy   -9.25 eV per atom
Symmetry   P4/mmm, No. 123
Calculated density   18.2 g/cm³
DOS at the Fermi energy   0.708 states/eV per atom


8.
Entry from Alexandria via LeMat-Bulk: an optimized crystal structure of ErMgCo2 (PBE).

Cell and atoms, written as CIF:
```
data_ErMgCo2
_cell_length_a 3.207
_cell_length_b 3.207
_cell_length_c 6.175
_cell_angle_alpha 90.00
_cell_angle_beta 90.00
_cell_angle_gamma 90.00
_space_group_name_H-M_alt 'P 1'
_space_group_IT_number 1
loop_
_space_group_symop_operation_xyz
'x,y,z'
loop_
_atom_site_label
_atom_site_fract_x
_atom_site_fract_y
_atom_site_fract_z
Er1 0.500 0.500 0.000
Co1 0.000 0.000 0.269
Co2 0.000 0.000 0.731
Mg1 0.500 0.500 0.500
```

Properties
Total magnetic moment   0.0 μB/f.u.
DFT total energy   -5.07 eV per atom
Symmetry   P4/mmm, No. 123
E_form   0.0268 eV per atom
Calculated density   8.1 g/cm³
DOS at the Fermi energy   1.372 states/eV per atom